Record 1
A relaxed Tm2AsO4 crystal. Source: OQMD via LeMat-Bulk, functional PBE.

abc: 9.4177 9.4177 9.4177
angles: 90.00 90.00 90.00
Space group Fd-3m (No. 227, origin choice 2)
Asymmetric unit:
Tm  0.0000  0.0000  0.0000
As  0.1250  0.1250  0.6250
O  0.0133  0.0133  0.2367

Output
- calculated total energy (eV/f.u.) = -50.49

=====

Record 2
A relaxed AgPdSO crystal. Source: OQMD via LeMat-Bulk, functional PBE.

abc: 3.4668 3.4668 12.2886
angles: 90.00 90.00 120.00
Space group P6_3mc (No. 186)
Asymmetric unit:
Ag  0.3333  0.6667  0.0000
Pd  0.0000  0.0000  0.2497
S  0.3333  0.6667  0.6435
O  0.0000  0.0000  0.4142

Output
- energy above the most stable polymorph in this dataset (meV per atom) = 203.2

=====

Number 1: volume 835 Å³/cell. Number 2: volume 128 Å³/cell.